Entry 1:
First-principles (PBE) data for a relaxed Ga4IrRh2 crystal, as listed in Alexandria.

Output
V ... 16.41 Å³ per atom
Energy of formation ... -0.4055 eV/atom

Cell and atoms, written as POSCAR:
```
Ga4IrRh2
1.0
6.9811 -1.5252 0.0000
6.9811 1.5252 0.0000
-2.2976 0.0000 5.3946
Ga Ir Rh
4 1 2
Direct
0.1102 0.1102 0.3414
0.3784 0.3784 0.2129
0.6216 0.6216 0.7871
0.8898 0.8898 0.6586
0.5000 0.5000 0.0000
0.2579 0.2579 0.7500
0.7421 0.7421 0.2500
```


Entry 2:
First-principles (PBE) data for a relaxed Mn2InCl crystal, as listed in Alexandria.

Output
V ... 20.71 Å³ per atom
Formation energy (no corrections) ... 0.036 eV/atom

Cell and atoms, written as POSCAR:
```
Mn2InCl
1.0
3.2012 0.0000 0.0000
0.0000 3.2012 0.0000
0.0000 0.0000 8.0844
Mn In Cl
2 1 1
Direct
0.0000 0.0000 0.0000
0.5000 0.5000 0.1953
0.5000 0.5000 0.7952
0.0000 0.0000 0.3563
```


Entry 3:
First-principles (PBE) data for a relaxed Y2ScPd3 crystal, as listed in Alexandria.

Output
V ... 20.65 Å³ per atom
Energy of formation ... -0.8619 eV/atom

Cell and atoms, written as POSCAR:
```
Y2ScPd3
1.0
4.8860 0.0000 0.0000
-2.4430 4.2314 0.0000
0.0000 0.0000 11.9837
Y Sc Pd
4 2 6
Direct
0.0000 0.0000 0.0000
0.0000 0.0000 0.5000
0.3333 0.6667 0.1727
0.6667 0.3333 0.8273
0.3333 0.6667 0.6639
0.6667 0.3333 0.3361
0.0000 0.0000 0.2565
0.0000 0.0000 0.7435
0.3333 0.6667 0.4181
0.3333 0.6667 0.9055
0.6667 0.3333 0.0945
0.6667 0.3333 0.5819
```


Entry 4:
First-principles (PBE) data for a relaxed CsTi3B crystal, as listed in Alexandria.

Output
V ... 23.63 Å³ per atom
Energy of formation ... 2.8418 eV/atom

Cell and atoms, written as POSCAR:
```
CsTi3B
1.0
4.9071 0.0000 0.0000
0.0000 4.9071 0.0000
0.0000 0.0000 4.9071
Cs Ti B
1 3 1
Direct
0.0000 0.0000 0.0000
0.0000 0.0000 0.5000
0.0000 0.5000 0.0000
0.5000 0.0000 0.0000
0.5000 0.5000 0.5000
```


Entry 5:
First-principles (PBE) data for a relaxed Sm4GeOs crystal, as listed in Alexandria.

Output
V ... 27.78 Å³ per atom
Energy of formation ... -0.3866 eV/atom

Cell and atoms, written as POSCAR:
```
Sm4GeOs
1.0
4.5095 -6.7349 0.0000
4.5095 6.7349 0.0000
-3.1350 0.0000 5.4875
Sm Ge Os
8 2 2
Direct
0.0567 0.7039 0.9147
0.2257 0.3561 0.6982
0.2961 0.9433 0.5853
0.3561 0.2257 0.1982
0.6439 0.7743 0.8018
0.7039 0.0567 0.4147
0.7743 0.6439 0.3018
0.9433 0.2961 0.0853
0.3697 0.6303 0.2500
0.6303 0.3697 0.7500
0.0011 0.9989 0.2500
0.9989 0.0011 0.7500
```


Entry 6:
First-principles (PBE) data for a relaxed CoSiSe2 crystal, as listed in Alexandria.

Output
V ... 22.65 Å³ per atom
Formation energy (no corrections) ... -0.068 eV/atom

Cell and atoms, written as POSCAR:
```
CoSiSe2
1.0
4.4502 0.0000 0.0000
0.0000 3.4041 0.0000
-0.3418 0.0000 5.9807
Co Si Se
1 1 2
Direct
0.0000 0.0000 0.0000
0.5000 0.0000 0.0000
0.1700 0.5000 0.7620
0.8300 0.5000 0.2380
```